Density functional theory data (PBE) for a relaxed structure of Sr2FeTc.

- energy of formation (meV/atom) = 1205
- distance to the lowest polymorph of the same formula (eV per atom) = 0.928
- raw total energy (eV/atom) = -4.343

a = 10.1995 Å, b = 10.1995 Å, c = 10.1995 Å
α = 19.06°, β = 19.06°, γ = 19.06°
Closest atoms and distances in Å follow each position.
Sites, in units of the cell vectors:
1 Fe 0.7500 0.7500 0.7500  6 Sr 3.22, 6 Fe 3.38
2 Sr 0.9978 0.9978 0.9978  3 Tc 3.12, 3 Fe 3.22, 6 Sr 3.38
3 Sr 0.5022 0.5022 0.5022  3 Tc 3.12, 3 Fe 3.22, 6 Sr 3.38
4 Tc 0.2500 0.2500 0.2500  6 Sr 3.12, 6 Tc 3.38